Below is crystalline Mn2CoHg at its relaxed geometry, with properties calculated at the PBE-GGA level.

abc: 4.063 4.063 7.213
angles: 90.00 90.00 90.00
Space group I4/mmm (No. 139)
Symmetry-distinct sites (fractional):
Mn 0.000 0.500 0.250 [4 per cell]
Co 0.000 0.000 0.000 [2 per cell]
Hg 0.000 0.000 0.500 [2 per cell]

The density of states at the Fermi level comes out at 4.8 states/eV/cell. As for the energy relative to the elements: 1.226 eV/f.u. For the energy, the calculation gives -6.130 eV per atom.